The following is a DFT calculation (GGA-PBEsol) of crystalline BAsSCl2 at its relaxed geometry.

abc: 4.8468 4.8289 4.8289
angles: 90.00 90.00 90.00
Element x y z (fractional)
1 B 0.5000 0.5000 0.5000
2 S 0.5000 0.0000 0.0000
3 Cl 0.0000 0.0000 0.5000
4 Cl 0.0000 0.5000 0.0000
5 As 0.0000 0.0000 0.0000

The density of states at the Fermi level comes out at 0.42 states/eV/f.u. Its uncorrected formation energy is 0.849 eV per atom. For the total energy, the calculation gives -16.279 eV for the cell shown.